No. 1
First-principles (PBE) data for a relaxed structure of V2NiAs2, as listed in the Alexandria database.

Geometry as POSCAR:
```
V2NiAs2
1.0
6.574 0.000 0.000
0.000 6.574 0.000
0.000 0.000 3.282
V Ni As
4 2 4
direct
0.142 0.358 0.000
0.358 0.858 0.000
0.642 0.142 0.000
0.858 0.642 0.000
0.000 0.000 0.500
0.500 0.500 0.500
0.156 0.656 0.500
0.344 0.156 0.500
0.656 0.844 0.500
0.844 0.344 0.500
```

Output
- symmetry = No. 127
- energy of formation (meV per atom) = -218

***

No. 2
First-principles (PBE) data for a relaxed structure of BeCuSiRu, as listed in the Alexandria database.

Geometry as POSCAR:
```
BeCuSiRu
1.0
5.687 0.000 0.000
0.000 5.687 0.000
0.000 0.000 5.687
Be Cu Si Ru
4 4 4 4
direct
0.000 0.000 0.000
0.000 0.500 0.500
0.500 0.000 0.500
0.500 0.500 0.000
0.250 0.250 0.250
0.250 0.750 0.750
0.750 0.250 0.750
0.750 0.750 0.250
0.000 0.000 0.500
0.000 0.500 0.000
0.500 0.000 0.000
0.500 0.500 0.500
0.250 0.250 0.750
0.250 0.750 0.250
0.750 0.250 0.250
0.750 0.750 0.750
```

Output
- ΔE_f (raw) (eV/atom) = -0.253
- symmetry = No. 216

***

No. 3
First-principles (PBE) data for a relaxed structure of PmDy10Ho4, as listed in the Alexandria database.

Geometry as POSCAR:
```
PmDy10Ho4
1.0
-4.832 4.832 5.243
4.832 -4.832 5.243
4.832 4.832 -5.243
Pm Dy Ho
1 10 4
direct
0.000 0.000 0.000
0.128 0.454 0.899
0.228 0.128 0.673
0.250 0.750 0.500
0.445 0.772 0.899
0.454 0.555 0.327
0.546 0.445 0.673
0.555 0.228 0.101
0.750 0.250 0.500
0.772 0.872 0.327
0.872 0.546 0.101
0.069 0.336 0.405
0.336 0.931 0.267
0.664 0.069 0.733
0.931 0.664 0.595
```

Output
- symmetry = No. 87
- energy of formation (meV per atom) = 346

***

No. 4
First-principles (PBE) data for a relaxed structure of TiIn2Pt2, as listed in the Alexandria database.

Geometry as POSCAR:
```
TiIn2Pt2
1.0
6.809 0.000 0.000
0.000 6.809 0.000
0.000 0.000 4.131
Ti In Pt
2 4 4
direct
0.000 0.000 0.000
0.500 0.500 0.000
0.169 0.331 0.500
0.331 0.831 0.500
0.669 0.169 0.500
0.831 0.669 0.500
0.140 0.640 0.000
0.360 0.140 0.000
0.640 0.860 0.000
0.860 0.360 0.000
```

Output
- symmetry = No. 127
- energy of formation (meV per atom) = -423

***

No. 5
First-principles (PBE) data for a relaxed structure of HRuS2, as listed in the Alexandria database.

Geometry as POSCAR:
```
HRuS2
1.0
5.736 0.000 0.000
0.000 5.736 0.000
0.000 0.000 5.736
H Ru S
4 4 8
direct
0.000 0.000 0.000
0.000 0.500 0.500
0.500 0.000 0.500
0.500 0.500 0.000
0.000 0.000 0.500
0.000 0.500 0.000
0.500 0.000 0.000
0.500 0.500 0.500
0.250 0.250 0.250
0.250 0.250 0.750
0.250 0.750 0.250
0.250 0.750 0.750
0.750 0.250 0.250
0.750 0.250 0.750
0.750 0.750 0.250
0.750 0.750 0.750
```

Output
- calculated total energy (eV/cell) = -76.93
- symmetry = No. 225

***

No. 6
First-principles (PBE) data for a relaxed structure of Tb2SO, as listed in the Alexandria database.

Geometry as POSCAR:
```
Tb2SO
1.0
3.580 0.000 0.000
-1.790 3.100 0.000
0.000 0.000 19.618
Tb S O
6 3 3
direct
0.000 0.000 0.000
0.000 0.000 0.161
0.333 0.667 0.667
0.333 0.667 0.827
0.667 0.333 0.333
0.667 0.333 0.494
0.000 0.000 0.581
0.333 0.667 0.247
0.667 0.333 0.914
0.000 0.000 0.409
0.333 0.667 0.075
0.667 0.333 0.742
```

Output
- ΔE_f (raw) (eV/atom) = -2.150
- symmetry = No. 160

***

No. 7
First-principles (PBE) data for a relaxed structure of Sr6GePd2, as listed in the Alexandria database.

Geometry as POSCAR:
```
Sr6GePd2
1.0
0.000 7.193 8.199
2.728 0.000 8.199
2.728 7.193 0.000
Sr Ge Pd
6 1 2
direct
0.045 0.291 0.709
0.291 0.045 0.955
0.375 0.625 0.375
0.625 0.375 0.625
0.709 0.955 0.045
0.955 0.709 0.291
0.000 0.000 0.000
0.334 0.334 0.666
0.666 0.666 0.334
```

Output
- symmetry = No. 69
- energy of formation (meV per atom) = -392

***

No. 8
First-principles (PBE) data for a relaxed structure of Mg2AgSe, as listed in the Alexandria database.

Geometry as POSCAR:
```
Mg2AgSe
1.0
3.566 0.000 0.000
0.000 3.739 0.000
0.000 0.000 12.913
Mg Ag Se
4 2 2
direct
0.000 0.000 0.000
0.000 0.500 0.243
0.500 0.000 0.743
0.500 0.500 0.500
0.000 0.000 0.412
0.500 0.500 0.912
0.000 0.500 0.669
0.500 0.000 0.169
```

Output
- ΔE_f (raw) (eV/atom) = -0.461
- symmetry = No. 44

***

No. 9
First-principles (PBE) data for a relaxed structure of Ir7Ru6, as listed in the Alexandria database.

Geometry as POSCAR:
```
Ir7Ru6
1.0
2.551 1.473 8.758
-2.551 1.473 8.758
0.000 -2.945 8.758
Ir Ru
7 6
direct
0.000 0.000 0.000
0.087 0.087 0.582
0.087 0.582 0.087
0.418 0.913 0.913
0.582 0.087 0.087
0.913 0.418 0.913
0.913 0.913 0.418
0.165 0.165 0.165
0.342 0.342 0.342
0.453 0.453 0.453
0.547 0.547 0.547
0.658 0.658 0.658
0.835 0.835 0.835
```

Output
- symmetry = No. 166
- energy of formation (meV per atom) = 430